## RbGeIrO6 (PBE-GGA)

Data for an optimized crystal structure of RbGeIrO6.

Properties
ΔE_f (raw) = -1099.4 meV per atom
Symmetry = P312
DFT total energy = -6.010 eV per atom
Total moment = 0.0 μB/f.u.

```
data_RbGeIrO6
_chemical_formula_sum 'Rb1 Ge1 Ir1 O6'
_cell_length_a 5.2014
_cell_length_b 5.2017
_cell_length_c 6.3069
_cell_angle_alpha 90.00
_cell_angle_beta 90.00
_cell_angle_gamma 60.00
_space_group_name_H-M_alt 'P 1'
_space_group_IT_number 1
loop_
_space_group_symop_operation_xyz
'x,y,z'
loop_
_atom_site_label
_atom_site_fract_x
_atom_site_fract_y
_atom_site_fract_z
_atom_site_occupancy
O1 0.5826 0.4188 0.6782 1
O2 0.9985 0.4188 0.3218 1
Ge1 0.3333 0.3333 0.5000 1
O3 0.9985 0.5827 0.6782 1
O4 0.4188 0.5826 0.3217 1
O5 0.4188 0.9985 0.6782 1
Ir1 0.6666 0.6667 0.5000 1
O6 0.5826 0.9986 0.3217 1
Rb1 0.0000 0.0000 0.0000 1
```